[1]
NiIr2Rh at its PBEsol-relaxed geometry, computed with meta-GGA SCAN. Values from VASP.

Results
ρ   17.32 Mg/m³
Energy of formation   22 meV/atom

```
&SYSTEM
  ibrav = 0, nat = 4, ntyp = 3
/
ATOMIC_SPECIES
Ni 58.69 Ni.upf
Rh 102.91 Rh.upf
Ir 192.22 Ir.upf
CELL_PARAMETERS angstrom
2.669 0.000 0.000
0.000 3.700 0.000
0.000 0.000 5.300
ATOMIC_POSITIONS crystal
Ni 0.500 0.500 0.000
Rh 0.500 0.500 0.500
Ir 0.000 0.000 0.243
Ir 0.000 0.000 0.757
```

---

[2]
Sr2Zn2Sb at its PBEsol-relaxed geometry, computed with meta-GGA SCAN. Values from VASP.

Results
Formation energy without anion corrections   -0.279 eV/atom
ρ   4.85 Mg/m³

```
&SYSTEM
  ibrav = 0, nat = 5, ntyp = 3
/
ATOMIC_SPECIES
Zn 65.41 Zn.upf
Sr 87.62 Sr.upf
Sb 121.76 Sb.upf
CELL_PARAMETERS angstrom
-0.152 5.181 -2.698
-3.329 -0.621 4.762
4.990 -1.471 2.661
ATOMIC_POSITIONS crystal
Zn 0.000 0.352 0.352
Zn 0.000 0.648 0.648
Sr 0.500 0.250 0.750
Sr 0.500 0.750 0.250
Sb 0.000 0.000 0.000
```

---

[3]
Fe3TcS at its PBEsol-relaxed geometry, computed with meta-GGA SCAN. Values from VASP.

Results
Formation energy without anion corrections   0.558 eV/atom
ρ   7.58 Mg/m³

```
&SYSTEM
  ibrav = 0, nat = 5, ntyp = 3
/
ATOMIC_SPECIES
Tc 98.00 Tc.upf
S 32.06 S.upf
Fe 55.84 Fe.upf
CELL_PARAMETERS angstrom
4.025 0.000 0.000
0.000 4.025 0.000
0.000 0.000 4.025
ATOMIC_POSITIONS crystal
Tc 0.500 0.500 0.500
S 0.000 0.000 0.000
Fe 0.000 0.000 0.500
Fe 0.500 0.000 0.000
Fe 0.000 0.500 0.000
```

---

Repeat the first record exactly.
NiIr2Rh at its PBEsol-relaxed geometry, computed with meta-GGA SCAN. Values from VASP.

Results
ρ   17.32 Mg/m³
Energy of formation   22 meV/atom

```
&SYSTEM
  ibrav = 0, nat = 4, ntyp = 3
/
ATOMIC_SPECIES
Ni 58.69 Ni.upf
Rh 102.91 Rh.upf
Ir 192.22 Ir.upf
CELL_PARAMETERS angstrom
2.669 0.000 0.000
0.000 3.700 0.000
0.000 0.000 5.300
ATOMIC_POSITIONS crystal
Ni 0.500 0.500 0.000
Rh 0.500 0.500 0.500
Ir 0.000 0.000 0.243
Ir 0.000 0.000 0.757
```

---

Question: Which of these has the lowest ρ?
Answer: Sr2Zn2Sb

---

Question: Look up the ρ of the second one.
Answer: 4.85 Mg/m³